No. 1
Below is a relaxed CdCo2Re2 crystal, with properties calculated at the PBE level.

Unit cell a=7.4581 b=7.4581 c=2.6254 alpha=90.00 beta=90.00 gamma=90.00
With the nearest neighbours (Å) after each atom.
Positions (direct):
Re 0.8771 0.6229 0.0000  6 Co 2.54-2.59, 3 Re 2.59-2.63
Re 0.6229 0.1229 0.0000  6 Co 2.54-2.59, 3 Re 2.59-2.63
Re 0.3771 0.8771 0.0000  6 Co 2.54-2.59, 3 Re 2.59-2.63
Re 0.1229 0.3771 0.0000  6 Co 2.54-2.59, 3 Re 2.59-2.63
Cd 0.5000 0.5000 0.0000  2 Cd 2.63
Cd 0.0000 0.0000 0.0000  2 Cd 2.63
Co 0.6655 0.8345 0.5000  6 Re 2.54-2.59, 2 Co 2.63
Co 0.8345 0.3345 0.5000  6 Re 2.54-2.59, 2 Co 2.63
Co 0.1655 0.6655 0.5000  6 Re 2.54-2.59, 2 Co 2.63
Co 0.3345 0.1655 0.5000  6 Re 2.54-2.59, 2 Co 2.63

The formation energy is 0.340 eV/atom. As for the symmetry: P4/mbm, No. 127.

---

No. 2
Below is a relaxed Li2NiAg crystal, with properties calculated at the PBE level.

Unit cell a=4.6525 b=4.6525 c=4.6525 alpha=131.38 beta=131.38 gamma=71.22
With the nearest neighbours (Å) after each atom.
Positions (direct):
Ni 0.2500 0.7500 0.5000  8 Li 2.69, 4 Ag 2.71
Ag 0.7500 0.2500 0.5000  8 Li 2.69, 4 Ni 2.71
Li 0.5000 0.5000 0.0000  4 Ni 2.69, 4 Ag 2.69, 4 Li 2.71
Li 0.0000 0.0000 0.0000  4 Ag 2.69, 4 Ni 2.69, 4 Li 2.71

The formation energy is -0.018 eV/atom. As for the symmetry: I4/mmm, No. 139.

---

No. 3
Below is a relaxed NaSn4Pb8 crystal, with properties calculated at the PBE level.

Unit cell a=5.8930 b=3.3924 c=19.8379 alpha=90.00 beta=95.75 gamma=90.00
With the nearest neighbours (Å) after each atom.
Positions (direct):
Pb 0.2161 0.0000 0.7813  3 Sn 3.25-3.44, 4 Pb 3.39-3.60
Pb 0.6867 0.5000 0.7156  9 Pb 3.39-3.67, 2 Sn 3.39-3.41
Pb 0.9145 0.5000 0.1820  2 Sn 3.37, 8 Pb 3.39-3.65, 2 Na 3.39
Pb 0.1021 0.0000 0.4859  1 Na 3.10, 2 Sn 3.31, 4 Pb 3.32-3.39
Pb 0.4377 0.0000 0.2486  2 Na 3.35-3.38, 8 Pb 3.39-3.65, 2 Sn 3.58
Pb 0.3837 0.5000 0.0900  6 Sn 3.32-3.59, 6 Pb 3.39-3.56
Pb 0.7918 0.5000 0.8867  6 Sn 3.38-3.64, 3 Pb 3.39
Pb 0.6275 0.0000 0.5642  6 Pb 3.32-3.44, 6 Sn 3.53-3.68
Na 0.9692 0.0000 0.3309  5 Pb 3.10-3.39, 2 Na 3.39
Sn 0.3220 0.0000 0.9454  7 Pb 3.25-3.64, 4 Sn 3.39-3.47
Sn 0.5295 0.5000 0.4079  2 Sn 3.39, 6 Pb 3.52-3.58, 2 Na 3.57
Sn 0.1590 0.5000 0.6297  10 Pb 3.31-3.68, 2 Sn 3.39
Sn 0.8603 0.0000 0.0347  8 Pb 3.37-3.59, 4 Sn 3.39-3.47

The formation energy is 0.032 eV/atom. As for the symmetry: Pm, No. 6.

---

No. 4
Below is a relaxed Na2CaPaO4 crystal, with properties calculated at the PBE level.

Unit cell a=3.5247 b=6.0074 c=5.9406 alpha=109.15 beta=90.00 gamma=90.00
With the nearest neighbours (Å) after each atom.
Positions (direct):
O 0.0000 0.2743 0.7824  2 Pa 2.34, 1 Ca 2.40, 3 Na 2.48-2.61
O 0.5000 0.7437 0.7901  1 Pa 2.21, 2 Ca 2.40
O 0.5000 0.2563 0.2099  1 Pa 2.21, 2 Ca 2.40
O 0.0000 0.7257 0.2176  2 Pa 2.34, 1 Ca 2.40, 3 Na 2.48-2.61
Pa 0.5000 0.5000 0.0000  6 O 2.21-2.34
Na 0.5000 0.0000 0.5000  6 O 2.61-2.66
Na 0.0000 0.5000 0.5000  6 O 2.48-2.56
Ca 0.0000 0.0000 0.0000  6 O 2.40

As for the symmetry: P2/m, No. 10. As for the formation energy without anion corrections: -2.597 eV per atom.

---

No. 5
Below is a relaxed Tm5In2Co2Pd crystal, with properties calculated at the PBE level.

Unit cell a=3.4676 b=11.2907 c=11.2907 alpha=90.00 beta=90.00 gamma=90.00
With the nearest neighbours (Å) after each atom.
Positions (direct):
Tm 0.5000 0.5710 0.7032  2 Co 2.63
Tm 0.5000 0.2968 0.5710  2 Co 2.63
Tm 0.5000 0.0000 0.5000  4 Co 2.75
Tm 0.5000 0.9290 0.2032  2 Co 2.63
Tm 0.5000 0.0710 0.7968  2 Co 2.63
Tm 0.5000 0.2032 0.0710  2 Co 2.63
Tm 0.5000 0.5000 0.0000  4 Co 2.75
Tm 0.5000 0.7032 0.4290  2 Co 2.63
Tm 0.5000 0.4290 0.2968  2 Co 2.63
Tm 0.5000 0.7968 0.9290  2 Co 2.63
Co 0.0000 0.8661 0.3661  6 Tm 2.63-2.75
Co 0.0000 0.3661 0.1339  6 Tm 2.63-2.75
Co 0.0000 0.6339 0.8661  6 Tm 2.63-2.75
Co 0.0000 0.1339 0.6339  6 Tm 2.63-2.75
In 0.0000 0.3240 0.8240  1 Co 3.04, 6 Tm 3.30-3.35
In 0.0000 0.1760 0.3240  1 Co 3.04, 6 Tm 3.30-3.35
In 0.0000 0.6760 0.1760  1 Co 3.04, 6 Tm 3.30-3.35
In 0.0000 0.8240 0.6760  1 Co 3.04, 6 Tm 3.30-3.35
Pd 0.0000 0.5000 0.5000  8 Tm 2.99
Pd 0.0000 0.0000 0.0000  8 Tm 2.99

The formation energy is -0.452 eV/atom. As for the symmetry: P4/mbm, No. 127.

---

No. 6
Below is a relaxed Sm2YHoSc crystal, with properties calculated at the PBE level.

Unit cell a=7.1226 b=8.1647 c=6.9921 alpha=125.72 beta=90.00 gamma=90.00
With the nearest neighbours (Å) after each atom.
Positions (direct):
Sm 0.5000 0.3010 0.0000  2 Sc 3.04, 1 Sm 3.25
Sm 0.0000 0.3010 0.0000  2 Sc 3.04, 1 Sm 3.25
Sm 0.0000 0.6990 0.0000  2 Sc 3.04, 1 Sm 3.25
Sm 0.5000 0.6990 0.0000  2 Sc 3.04, 1 Sm 3.25
Y 0.7500 0.7436 0.4871  1 Sc 3.09
Y 0.2500 0.2564 0.5129  1 Sc 3.09
Sc 0.7500 0.0155 0.0310  1 Ho 2.97, 4 Sm 3.04, 1 Y 3.09
Sc 0.2500 0.9845 0.9690  1 Ho 2.97, 4 Sm 3.04, 1 Y 3.09
Ho 0.2500 0.7226 0.4451  1 Sc 2.97
Ho 0.7500 0.2774 0.5549  1 Sc 2.97

The formation energy is 0.362 eV/atom. As for the symmetry: Cmcm, No. 63.

---

No. 7
Below is a relaxed MoW2Se crystal, with properties calculated at the PBE level.

Unit cell a=3.1153 b=3.1153 c=6.6377 alpha=90.00 beta=90.00 gamma=90.00
With the nearest neighbours (Å) after each atom.
Positions (direct):
Se 0.5000 0.5000 0.7500  8 W 2.78
Mo 0.5000 0.5000 0.2500  8 W 2.74
W 0.0000 0.0000 0.4945  4 Mo 2.74, 4 Se 2.78
W 0.0000 0.0000 0.0055  4 Mo 2.74, 4 Se 2.78

As for the symmetry: P4/mmm, No. 123. As for the formation energy without anion corrections: 0.377 eV per atom.

---

Table of D(E_F) (states/eV/f.u.), in record order: 5.8; 1.9; 5.5; 2.7; 5.4; 7.1; 4.1
Table of V (Å³/cell), in record order: 146.03; 55.51; 394.60; 118.83; 442.06; 330.11; 64.42